[1]
Here is an optimized crystal structure of AlAg2Pt from the Alexandria database. Energies are from PBEsol.

Lattice parameters (Å, degrees): 3.7157 3.7157 19.4441 90.00 90.00 90.00
Closest atoms and distances in Å follow each position.
Space group I-42d (No. 122)
One atom of each set of equivalent atoms:
Al 0.0000 0.0000 0.0000 x4  4 Pt 2.63, 4 Ag 2.76
Ag 0.2492 0.2500 0.6250 x8  4 Ag 2.62-2.63, 2 Pt 2.76, 2 Al 2.76
Pt 0.0000 0.0000 0.5000 x4  4 Al 2.63, 4 Ag 2.76

Calculated values
DOS(E_F) = 0.338 states/eV/atom
ΔH_f (0 K) = -0.091 eV per atom
Energy above the lowest structure with this stoichiometry = 0.2258 eV per atom

[2]
Here is an optimized crystal structure of K2CdTe from the Alexandria database. Energies are from PBEsol.

Lattice parameters (Å, degrees): 5.9285 5.9285 21.0113 90.00 90.00 90.00
Closest atoms and distances in Å follow each position.
Space group I-42d (No. 122)
One atom of each set of equivalent atoms:
K 0.2257 0.2500 0.1250 x8  2 Te 3.30, 2 Cd 3.43
Cd 0.0000 0.0000 0.5000 x4  4 K 3.43
Te 0.0000 0.0000 0.0000 x4  4 K 3.30

Calculated values
E_form (uncorrected) = -0.254 eV per atom

[3]
Here is an optimized crystal structure of CrN from the Alexandria database. Energies are from PBEsol.

Lattice parameters (Å, degrees): 2.6500 2.6500 2.5654 90.00 90.00 120.00
Closest atoms and distances in Å follow each position.
Space group P-6m2 (No. 187)
One atom of each set of equivalent atoms:
Cr 0.0000 0.0000 0.0000 x1  6 N 2.00
N 0.3333 0.6667 0.5000 x1  6 Cr 2.00

Calculated values
E_form (uncorrected) = -0.761 eV per atom
DOS(E_F) = 0.731 states/eV/atom

no.,final energy (eV/atom)
1,-4.51
2,-2.00
3,-10.15